## IrPtSCl2 (PBE-GGA)

Data for an optimized crystal structure of IrPtSCl2.

Lattice parameters (Å, degrees): 4.912 4.912 4.421 90.00 90.00 90.00
Sites, in units of the cell vectors:
1 Ir 0.000 0.000 0.000
2 Pt 0.500 0.500 0.500
3 S 0.000 0.000 0.500
4 Cl 0.000 0.500 0.000
5 Cl 0.500 0.000 0.000

Properties
raw formation energy: 0.82 eV/atom
E_tot: -18.6 eV/f.u.
DOS(E_F): 8.578 states/eV/f.u.
magnetic moment: 0.7 μB/cell
space-group type: P4/mmm
crystal system: tetragonal

***

## IrPtSCl2 (PBE-GGA)

Data for an optimized crystal structure of IrPtSCl2.

Lattice parameters (Å, degrees): 4.786 4.786 4.727 90.00 90.00 90.00
Sites, in units of the cell vectors:
1 Ir 0.000 0.000 0.000
2 Pt 0.500 0.500 0.500
3 S 0.500 0.500 0.000
4 Cl 0.000 0.500 0.500
5 Cl 0.500 0.000 0.500

Properties
raw formation energy: 1.12 eV/atom
E_tot: -17.1 eV/f.u.
DOS(E_F): 8.914 states/eV/f.u.
magnetic moment: 2.5 μB/cell
space-group type: P4/mmm
crystal system: tetragonal

***

## Sm8Ir3PtCl4 (PBE-GGA)

Data for an optimized crystal structure of Sm8Ir3PtCl4.

Lattice parameters (Å, degrees): 8.222 8.222 8.822 117.81 117.81 60.01
Sites, in units of the cell vectors:
1 Sm 0.228 0.738 0.703
2 Sm 0.235 0.235 0.703
3 Sm 0.262 0.772 0.297
4 Sm 0.263 0.263 0.297
5 Sm 0.737 0.737 0.703
6 Sm 0.738 0.228 0.703
7 Sm 0.765 0.765 0.297
8 Sm 0.772 0.262 0.297
9 Ir 0.000 0.000 0.500
10 Ir 0.000 0.500 0.500
11 Ir 0.500 0.000 0.500
12 Pt 0.500 0.500 0.500
13 Cl 0.000 0.000 0.000
14 Cl 0.000 0.500 0.000
15 Cl 0.500 0.000 0.000
16 Cl 0.500 0.500 0.000

Properties
raw formation energy: -1.25 eV/atom
E_tot: -97.7 eV/f.u.
DOS(E_F): 6.284 states/eV/f.u.
magnetic moment: 0.0 μB/cell
space-group type: C2/m
crystal system: monoclinic

***

## Sm6Ir2PtCl3 (PBE-GGA)

Data for an optimized crystal structure of Sm6Ir2PtCl3.

Lattice parameters (Å, degrees): 7.122 7.122 7.817 98.72 98.72 120.01
Sites, in units of the cell vectors:
1 Sm 0.091 0.432 0.796
2 Sm 0.226 0.226 0.203
3 Sm 0.432 0.091 0.796
4 Sm 0.568 0.909 0.204
5 Sm 0.774 0.774 0.797
6 Sm 0.909 0.568 0.204
7 Ir 0.167 0.833 0.000
8 Ir 0.833 0.167 0.000
9 Pt 0.500 0.500 0.000
10 Cl 0.000 0.000 0.500
11 Cl 0.329 0.671 0.500
12 Cl 0.671 0.329 0.500

Properties
raw formation energy: -1.26 eV/atom
E_tot: -72.8 eV/f.u.
DOS(E_F): 5.288 states/eV/f.u.
magnetic moment: 0.0 μB/cell
space-group type: C2/m
crystal system: monoclinic

***

## RbIr2Cl2 (PBE-GGA)

Data for an optimized crystal structure of RbIr2Cl2.

Lattice parameters (Å, degrees): 9.490 9.490 9.490 157.91 157.91 31.43
Sites, in units of the cell vectors:
1 Rb 0.000 0.000 0.000
2 Ir 0.250 0.750 0.500
3 Ir 0.750 0.250 0.500
4 Cl 0.390 0.390 0.000
5 Cl 0.610 0.610 0.000

Properties
raw formation energy: 0.18 eV/atom
E_tot: -21.5 eV/f.u.
DOS(E_F): 5.301 states/eV/f.u.
magnetic moment: 2.9 μB/cell
space-group type: I4/mmm
crystal system: tetragonal

***

## Rb2IrCl (PBE-GGA)

Data for an optimized crystal structure of Rb2IrCl.

Lattice parameters (Å, degrees): 5.921 5.921 5.921 60.00 60.00 60.00
Sites, in units of the cell vectors:
1 Rb 0.250 0.250 0.250
2 Rb 0.750 0.750 0.750
3 Ir 0.000 0.000 0.000
4 Cl 0.500 0.500 0.500

Properties
raw formation energy: 0.13 eV/atom
E_tot: -12.1 eV/f.u.
DOS(E_F): 0.000 states/eV/f.u.
magnetic moment: 2.0 μB/cell
space-group type: Fm-3m
crystal system: cubic

***

Repeat the fifth record exactly.
## RbIr2Cl2 (PBE-GGA)

Data for an optimized crystal structure of RbIr2Cl2.

Lattice parameters (Å, degrees): 9.490 9.490 9.490 157.91 157.91 31.43
Sites, in units of the cell vectors:
1 Rb 0.000 0.000 0.000
2 Ir 0.250 0.750 0.500
3 Ir 0.750 0.250 0.500
4 Cl 0.390 0.390 0.000
5 Cl 0.610 0.610 0.000

Properties
raw formation energy: 0.18 eV/atom
E_tot: -21.5 eV/f.u.
DOS(E_F): 5.301 states/eV/f.u.
magnetic moment: 2.9 μB/cell
space-group type: I4/mmm
crystal system: tetragonal